(1)
Crystalline Tl4InP at its relaxed geometry, computed with PBE. Values from VASP.

```
&SYSTEM
  ibrav = 0, nat = 6, ntyp = 3
/
ATOMIC_SPECIES
Tl 204.38 Tl.upf
In 114.82 In.upf
P 30.97 P.upf
CELL_PARAMETERS angstrom
0.0000 4.5010 4.5010
4.5010 0.0000 4.5010
4.5010 4.5010 0.0000
ATOMIC_POSITIONS crystal
Tl 0.3757 0.3757 0.3757
Tl 0.3757 0.3757 0.8730
Tl 0.3757 0.8730 0.3757
Tl 0.8730 0.3757 0.3757
In 0.0000 0.0000 0.0000
P 0.7500 0.7500 0.7500
```

## Properties
Crystal system: cubic
VASP energy: -2.5225 eV/atom
Total magnetization: 0.000 μB/atom
Symmetry: F-43m, No. 216
DOS at the Fermi energy: 4.87 states/eV/f.u.

***

(2)
Crystalline UMnFeCo at its relaxed geometry, computed with PBE. Values from VASP.

```
&SYSTEM
  ibrav = 0, nat = 4, ntyp = 4
/
ATOMIC_SPECIES
U 238.03 U.upf
Mn 54.94 Mn.upf
Fe 55.84 Fe.upf
Co 58.93 Co.upf
CELL_PARAMETERS angstrom
0.0000 3.0557 3.0557
3.0557 0.0000 3.0557
3.0557 3.0557 0.0000
ATOMIC_POSITIONS crystal
U 0.0000 0.0000 0.0000
Mn 0.5000 0.5000 0.5000
Fe 0.2500 0.2500 0.2500
Co 0.7500 0.7500 0.7500
```

## Properties
Crystal system: cubic
VASP energy: -8.9158 eV/atom
Total magnetization: 0.709 μB/atom
Symmetry: F-43m, No. 216
DOS at the Fermi energy: 8.23 states/eV/f.u.

***

(3)
Crystalline ZrIrCl2 at its relaxed geometry, computed with PBE. Values from VASP.

```
&SYSTEM
  ibrav = 0, nat = 4, ntyp = 3
/
ATOMIC_SPECIES
Zr 91.22 Zr.upf
Ir 192.22 Ir.upf
Cl 35.45 Cl.upf
CELL_PARAMETERS angstrom
7.1124 -1.7058 0.0000
7.1124 1.7058 0.0000
-0.1706 0.0000 4.2709
ATOMIC_POSITIONS crystal
Zr 0.0000 0.0000 0.0000
Ir 0.5000 0.5000 0.5000
Cl 0.3612 0.3612 0.7810
Cl 0.6388 0.6388 0.2190
```

## Properties
Crystal system: monoclinic
VASP energy: -6.0034 eV/atom
Total magnetization: 0.000 μB/atom
Symmetry: C2/m, No. 12
DOS at the Fermi energy: 0.96 states/eV/f.u.
Formation energy from raw total energies: -0.728 eV per atom